a.
A plane-wave DFT calculation with meta-GGA SCAN was carried out for a PBEsol-optimized structure of PIr2Cl.

```
8
Lattice="2.824 0.000 0.000 0.000 5.480 0.000 0.000 0.000 8.010" Properties=species:S:1:pos:R:3 pbc="T T T"
P 0.000 0.000 0.000
P 1.412 2.740 4.005
Ir 0.000 2.740 2.232
Ir 0.000 2.740 5.779
Ir 1.412 0.000 1.774
Ir 1.412 0.000 6.237
Cl 0.000 0.000 4.005
Cl 1.412 2.740 0.000
```

Values from the calculation:
Its space group is No. 71.

=====

b.
A plane-wave DFT calculation with meta-GGA SCAN was carried out for a PBEsol-optimized structure of PIr2Cl.

```
4
Lattice="4.337 0.000 0.000 0.000 4.337 0.000 0.000 0.000 2.962" Properties=species:S:1:pos:R:3 pbc="T T T"
P 0.000 0.000 0.000
Ir 0.000 2.169 1.481
Ir 2.169 0.000 1.481
Cl 2.169 2.169 0.000
```

Values from the calculation:
Its space group is No. 123.

=====

a ends up most stable, edging out the next structure by 517 meV per atom.

=====

a.
A plane-wave DFT calculation with meta-GGA SCAN was carried out for a PBEsol-optimized structure of IrPb2Cl.

```
12
Lattice="3.976 0.000 0.000 -1.988 3.443 0.000 0.000 0.000 21.882" Properties=species:S:1:pos:R:3 pbc="T T T"
Ir 0.000 0.000 0.000
Ir 0.000 2.295 14.588
Ir 1.988 1.148 7.294
Pb 0.000 0.000 5.814
Pb 0.000 0.000 16.068
Pb 0.000 2.295 8.774
Pb 0.000 2.295 20.402
Pb 1.988 1.148 1.480
Pb 1.988 1.148 13.108
Cl 0.000 0.000 10.941
Cl 0.000 2.295 3.647
Cl 1.988 1.148 18.235
```

Values from the calculation:
Its space group is No. 166.

=====

b.
A plane-wave DFT calculation with meta-GGA SCAN was carried out for a PBEsol-optimized structure of IrPb2Cl.

```
8
Lattice="3.938 0.000 0.000 0.000 3.938 0.000 0.000 0.000 12.058" Properties=species:S:1:pos:R:3 pbc="T T T"
Ir 0.000 0.000 0.000
Ir 1.969 1.969 6.029
Pb 0.000 0.000 6.029
Pb 0.000 1.969 3.015
Pb 1.969 0.000 9.044
Pb 1.969 1.969 0.000
Cl 0.000 1.969 9.044
Cl 1.969 0.000 3.015
```

Values from the calculation:
Its space group is No. 119.

=====

a ends up most stable, edging out the next structure by 449 meV per atom.

=====

a.
A plane-wave DFT calculation with meta-GGA SCAN was carried out for a PBEsol-optimized structure of Re2IrCl.

```
12
Lattice="2.787 0.000 0.000 -1.394 2.414 0.000 0.000 0.000 25.502" Properties=species:S:1:pos:R:3 pbc="T T T"
Re 0.000 0.000 6.347
Re 0.000 0.000 19.155
Re 0.000 1.609 10.654
Re 0.000 1.609 23.348
Re 1.394 0.805 2.154
Re 1.394 0.805 14.848
Ir 0.000 0.000 0.000
Ir 0.000 1.609 17.001
Ir 1.394 0.805 8.501
Cl 0.000 0.000 12.751
Cl 0.000 1.609 4.250
Cl 1.394 0.805 21.252
```

Values from the calculation:
Its space group is No. 166.

=====

b.
A plane-wave DFT calculation with meta-GGA SCAN was carried out for a PBEsol-optimized structure of Re2IrCl.

```
8
Lattice="7.820 0.000 0.000 0.000 2.748 0.000 -0.908 0.000 5.449" Properties=species:S:1:pos:R:3 pbc="T T T"
Re 1.698 0.000 1.466
Re 1.304 1.374 3.982
Re 5.608 1.374 1.466
Re 5.214 0.000 3.982
Ir 0.000 1.374 0.000
Ir 3.910 0.000 0.000
Cl -0.454 0.000 2.724
Cl 3.456 1.374 2.724
```

Values from the calculation:
Its space group is No. 12.

=====

a ends up most stable, edging out the next structure by 344 meV per atom.

=====

a.
A plane-wave DFT calculation with meta-GGA SCAN was carried out for a PBEsol-optimized structure of IrRhCl2.

```
8
Lattice="2.823 0.000 0.000 0.000 5.237 0.000 0.000 0.000 8.148" Properties=species:S:1:pos:R:3 pbc="T T T"
Ir 0.000 0.000 0.000
Ir 1.411 2.619 4.074
Rh 0.000 0.000 4.074
Rh 1.411 2.619 0.000
Cl 0.000 2.619 2.084
Cl 0.000 2.619 6.065
Cl 1.411 0.000 1.991
Cl 1.411 0.000 6.158
```

Values from the calculation:
Its space group is No. 71.

=====

b.
A plane-wave DFT calculation with meta-GGA SCAN was carried out for a PBEsol-optimized structure of IrRhCl2.

```
8
Lattice="2.848 0.000 0.000 0.000 3.925 0.000 0.000 0.000 12.188" Properties=species:S:1:pos:R:3 pbc="T T T"
Ir 0.000 0.000 0.000
Ir 1.424 1.963 6.094
Rh 0.000 1.963 8.362
Rh 1.424 0.000 2.268
Cl 0.000 0.000 5.634
Cl 0.000 1.963 2.733
Cl 1.424 0.000 8.827
Cl 1.424 1.963 11.728
```

Values from the calculation:
Its space group is No. 44.

=====

a ends up most stable, edging out the next structure by 43 meV per atom.

=====

a.
A plane-wave DFT calculation with meta-GGA SCAN was carried out for a PBEsol-optimized structure of IrRhCl2.

```
4
Lattice="2.815 0.000 0.000 0.000 4.070 0.000 0.000 0.000 5.241" Properties=species:S:1:pos:R:3 pbc="T T T"
Ir 0.000 0.000 0.000
Rh 1.407 0.000 2.621
Cl 0.000 2.035 2.621
Cl 1.407 2.035 0.000
```

Values from the calculation:
Its space group is No. 47.

=====

b.
A plane-wave DFT calculation with meta-GGA SCAN was carried out for a PBEsol-optimized structure of IrRhCl2.

```
16
Lattice="6.238 0.000 0.000 0.000 6.238 0.000 0.000 0.000 6.238" Properties=species:S:1:pos:R:3 pbc="T T T"
Ir 0.000 0.000 0.000
Ir 0.000 3.119 3.119
Ir 3.119 0.000 3.119
Ir 3.119 3.119 0.000
Rh 1.560 1.560 1.560
Rh 1.560 4.679 4.679
Rh 4.679 1.560 4.679
Rh 4.679 4.679 1.560
Cl 0.000 0.000 3.119
Cl 0.000 3.119 0.000
Cl 1.560 1.560 4.679
Cl 1.560 4.679 1.560
Cl 3.119 0.000 0.000
Cl 3.119 3.119 3.119
Cl 4.679 1.560 1.560
Cl 4.679 4.679 4.679
```

Values from the calculation:
Its space group is No. 216.

=====

a ends up most stable, edging out the next structure by 213 meV per atom.

=====

a.
A plane-wave DFT calculation with meta-GGA SCAN was carried out for a PBEsol-optimized structure of Ir2RuCl.

```
8
Lattice="2.687 0.000 0.000 0.000 4.835 0.000 0.000 0.000 8.967" Properties=species:S:1:pos:R:3 pbc="T T T"
Ir 0.000 0.000 0.000
Ir 0.000 2.417 2.266
Ir 1.343 0.000 2.266
Ir 1.343 2.417 0.000
Ru 0.000 0.000 4.539
Ru 1.343 2.417 4.539
Cl 0.000 2.417 6.534
Cl 1.343 0.000 6.534
```

Values from the calculation:
Its space group is No. 35.

=====

b.
A plane-wave DFT calculation with meta-GGA SCAN was carried out for a PBEsol-optimized structure of Ir2RuCl.

```
8
Lattice="5.385 0.000 0.000 0.000 7.823 0.000 0.000 0.000 2.709" Properties=species:S:1:pos:R:3 pbc="T T T"
Ir 1.346 1.956 0.000
Ir 1.346 5.867 0.000
Ir 4.038 1.956 0.000
Ir 4.038 5.867 0.000
Ru 0.000 0.000 1.354
Ru 2.692 3.912 1.354
Cl 0.000 3.912 1.354
Cl 2.692 0.000 1.354
```

Values from the calculation:
Its space group is No. 65.

=====

a ends up most stable, edging out the next structure by 458 meV per atom.

=====

a.
A plane-wave DFT calculation with meta-GGA SCAN was carried out for a PBEsol-optimized structure of SbIr2Cl.

```
4
Lattice="4.315 0.000 0.000 0.000 4.315 0.000 0.000 0.000 3.513" Properties=species:S:1:pos:R:3 pbc="T T T"
Sb 0.000 0.000 0.000
Ir 0.000 2.158 1.756
Ir 2.158 0.000 1.756
Cl 2.158 2.158 0.000
```

Values from the calculation:
Its space group is No. 123.

=====

b.
A plane-wave DFT calculation with meta-GGA SCAN was carried out for a PBEsol-optimized structure of SbIr2Cl.

```
16
Lattice="4.764 0.000 0.000 0.000 4.764 0.000 0.000 0.000 13.963" Properties=species:S:1:pos:R:3 pbc="T T T"
Sb 0.000 0.000 0.000
Sb 0.000 2.382 3.491
Sb 2.382 0.000 10.472
Sb 2.382 2.382 6.981
Ir 0.742 1.191 8.727
Ir 1.191 3.124 12.217
Ir 1.191 4.022 5.236
Ir 1.640 1.191 1.745
Ir 3.124 3.573 1.745
Ir 3.573 0.742 5.236
Ir 3.573 1.640 12.217
Ir 4.022 3.573 8.727
Cl 0.000 0.000 6.981
Cl 0.000 2.382 10.472
Cl 2.382 0.000 3.491
Cl 2.382 2.382 0.000
```

Values from the calculation:
Its space group is No. 122.

=====

c.
A plane-wave DFT calculation with meta-GGA SCAN was carried out for a PBEsol-optimized structure of SbIr2Cl.

```
8
Lattice="5.734 0.000 0.000 0.000 9.159 0.000 -1.507 0.000 2.523" Properties=species:S:1:pos:R:3 pbc="T T T"
Sb 0.000 0.000 0.000
Sb 2.867 4.580 0.000
Ir 1.434 2.290 0.000
Ir 1.434 6.870 0.000
Ir 4.301 2.290 0.000
Ir 4.301 6.870 0.000
Cl 0.000 4.580 0.000
Cl 2.867 0.000 0.000
```

Values from the calculation:
Its space group is No. 12.

=====

d.
A plane-wave DFT calculation with meta-GGA SCAN was carried out for a PBEsol-optimized structure of SbIr2Cl.

```
16
Lattice="6.447 0.000 0.000 0.000 6.447 0.000 0.000 0.000 6.447" Properties=species:S:1:pos:R:3 pbc="T T T"
Sb 0.000 0.000 0.000
Sb 0.000 3.223 3.223
Sb 3.223 0.000 3.223
Sb 3.223 3.223 0.000
Ir 0.000 0.000 3.223
Ir 0.000 3.223 0.000
Ir 1.612 1.612 1.612
Ir 1.612 4.835 4.835
Ir 3.223 0.000 0.000
Ir 3.223 3.223 3.223
Ir 4.835 1.612 4.835
Ir 4.835 4.835 1.612
Cl 1.612 1.612 4.835
Cl 1.612 4.835 1.612
Cl 4.835 1.612 1.612
Cl 4.835 4.835 4.835
```

Values from the calculation:
Its space group is No. 216.

=====

b ends up most stable, edging out the next structure by 179 meV per atom.

=====

a.
A plane-wave DFT calculation with meta-GGA SCAN was carried out for a PBEsol-optimized structure of Sb2IrCl.

```
8
Lattice="3.122 0.000 0.000 0.000 3.621 0.000 0.000 0.000 15.899" Properties=species:S:1:pos:R:3 pbc="T T T"
Sb 0.000 0.000 0.000
Sb 0.000 1.810 4.687
Sb 1.561 0.000 12.636
Sb 1.561 1.810 7.950
Ir 0.000 0.000 6.618
Ir 1.561 1.810 14.568
Cl 0.000 1.810 10.279
Cl 1.561 0.000 2.329
```

Values from the calculation:
Its space group is No. 44.

=====

b.
A plane-wave DFT calculation with meta-GGA SCAN was carried out for a PBEsol-optimized structure of Sb2IrCl.

```
8
Lattice="4.721 0.000 0.000 0.000 4.721 0.000 0.000 0.000 6.813" Properties=species:S:1:pos:R:3 pbc="T T T"
Sb 0.000 2.360 1.703
Sb 0.000 2.360 5.110
Sb 2.360 0.000 1.703
Sb 2.360 0.000 5.110
Ir 0.000 0.000 0.000
Ir 2.360 2.360 3.407
Cl 0.000 0.000 3.407
Cl 2.360 2.360 0.000
```

Values from the calculation:
Its space group is No. 139.

=====

a ends up most stable, edging out the next structure by 326 meV per atom.

=====

a.
A plane-wave DFT calculation with meta-GGA SCAN was carried out for a PBEsol-optimized structure of Sc2IrCl.

```
12
Lattice="3.013 0.000 0.000 -1.507 2.610 0.000 0.000 0.000 27.040" Properties=species:S:1:pos:R:3 pbc="T T T"
Sc 0.000 0.000 2.434
Sc 0.000 0.000 24.606
Sc 0.000 1.740 15.593
Sc 0.000 1.740 20.461
Sc 1.507 0.870 6.579
Sc 1.507 0.870 11.448
Ir 0.000 0.000 0.000
Ir 0.000 1.740 18.027
Ir 1.507 0.870 9.013
Cl 0.000 0.000 13.520
Cl 0.000 1.740 4.507
Cl 1.507 0.870 22.534
```

Values from the calculation:
Its space group is No. 166.

=====

b.
A plane-wave DFT calculation with meta-GGA SCAN was carried out for a PBEsol-optimized structure of Sc2IrCl.

```
8
Lattice="6.363 0.000 0.000 0.000 3.677 0.000 -2.113 0.000 6.874" Properties=species:S:1:pos:R:3 pbc="T T T"
Sc 1.058 0.000 1.442
Sc 0.010 1.839 5.432
Sc 4.239 1.839 1.442
Sc 3.191 0.000 5.432
Ir 0.000 1.839 0.000
Ir 3.181 0.000 0.000
Cl -1.057 0.000 3.437
Cl 2.125 1.839 3.437
```

Values from the calculation:
Its space group is No. 12.

=====

c.
A plane-wave DFT calculation with meta-GGA SCAN was carried out for a PBEsol-optimized structure of Sc2IrCl.

```
8
Lattice="3.666 0.000 0.000 0.000 3.666 0.000 0.000 0.000 10.544" Properties=species:S:1:pos:R:3 pbc="T T T"
Sc 0.000 0.000 0.000
Sc 0.000 1.833 2.636
Sc 1.833 0.000 7.908
Sc 1.833 1.833 5.272
Ir 0.000 1.833 7.908
Ir 1.833 0.000 2.636
Cl 0.000 0.000 5.272
Cl 1.833 1.833 0.000
```

Values from the calculation:
Its space group is No. 119.

=====

d.
A plane-wave DFT calculation with meta-GGA SCAN was carried out for a PBEsol-optimized structure of Sc2IrCl.

```
8
Lattice="4.537 0.000 0.000 0.000 3.070 0.000 0.000 0.000 10.072" Properties=species:S:1:pos:R:3 pbc="T T T"
Sc 0.000 0.000 0.000
Sc 0.000 1.535 5.036
Sc 2.269 0.000 2.536
Sc 2.269 1.535 7.571
Ir 0.000 0.000 7.432
Ir 0.000 1.535 2.396
Cl 2.269 0.000 5.109
Cl 2.269 1.535 0.073
```

Values from the calculation:
Its space group is No. 38.

=====

b ends up most stable, edging out the next structure by 214 meV per atom.

=====

a.
A plane-wave DFT calculation with meta-GGA SCAN was carried out for a PBEsol-optimized structure of ScIr2Cl.

```
16
Lattice="6.335 0.000 0.000 0.000 6.335 0.000 0.000 0.000 6.335" Properties=species:S:1:pos:R:3 pbc="T T T"
Sc 0.000 0.000 0.000
Sc 0.000 3.168 3.168
Sc 3.168 0.000 3.168
Sc 3.168 3.168 0.000
Ir 0.000 0.000 3.168
Ir 0.000 3.168 0.000
Ir 1.584 1.584 1.584
Ir 1.584 4.751 4.751
Ir 3.168 0.000 0.000
Ir 3.168 3.168 3.168
Ir 4.751 1.584 4.751
Ir 4.751 4.751 1.584
Cl 1.584 1.584 4.751
Cl 1.584 4.751 1.584
Cl 4.751 1.584 1.584
Cl 4.751 4.751 4.751
```

Values from the calculation:
Its space group is No. 216.

=====

b.
A plane-wave DFT calculation with meta-GGA SCAN was carried out for a PBEsol-optimized structure of ScIr2Cl.

```
4
Lattice="2.855 0.000 0.000 0.000 4.928 0.000 -0.074 0.000 4.469" Properties=species:S:1:pos:R:3 pbc="T T T"
Sc 0.000 0.000 0.000
Ir 0.662 2.464 3.348
Ir 2.119 2.464 1.121
Cl 1.391 0.000 2.235
```

Values from the calculation:
Its space group is No. 10.

=====

b ends up most stable, edging out the next structure by 341 meV per atom.

=====

a.
A plane-wave DFT calculation with meta-GGA SCAN was carried out for a PBEsol-optimized structure of ScIr2Cl.

```
8
Lattice="5.324 0.000 0.000 0.000 9.507 0.000 -1.490 0.000 2.456" Properties=species:S:1:pos:R:3 pbc="T T T"
Sc 0.000 0.000 0.000
Sc 2.662 4.753 0.000
Ir 0.586 2.377 1.228
Ir 0.586 7.130 1.228
Ir 3.248 2.377 1.228
Ir 3.248 7.130 1.228
Cl 0.000 4.753 0.000
Cl 2.662 0.000 0.000
```

Values from the calculation:
Its space group is No. 12.

=====

b.
A plane-wave DFT calculation with meta-GGA SCAN was carried out for a PBEsol-optimized structure of ScIr2Cl.

```
4
Lattice="2.931 0.000 0.000 0.000 3.722 0.000 0.000 0.000 7.086" Properties=species:S:1:pos:R:3 pbc="T T T"
Sc 0.000 0.000 0.000
Ir 0.000 0.000 4.488
Ir 1.466 1.861 5.304
Cl 1.466 1.861 1.439
```

Values from the calculation:
Its space group is No. 25.

=====

b ends up most stable, edging out the next structure by 339 meV per atom.

=====

a.
A plane-wave DFT calculation with meta-GGA SCAN was carried out for a PBEsol-optimized structure of Si2IrCl.

```
12
Lattice="3.653 0.000 0.000 -1.826 3.163 0.000 0.000 0.000 20.484" Properties=species:S:1:pos:R:3 pbc="T T T"
Si 0.000 0.000 2.295
Si 0.000 0.000 18.189
Si 0.000 2.109 11.361
Si 0.000 2.109 15.951
Si 1.826 1.054 4.533
Si 1.826 1.054 9.123
Ir 0.000 0.000 10.242
Ir 0.000 2.109 3.414
Ir 1.826 1.054 17.070
Cl 0.000 0.000 0.000
Cl 0.000 2.109 13.656
Cl 1.826 1.054 6.828
```

Values from the calculation:
Its space group is No. 166.

=====

b.
A plane-wave DFT calculation with meta-GGA SCAN was carried out for a PBEsol-optimized structure of Si2IrCl.

```
4
Lattice="3.566 0.000 0.000 0.000 3.566 0.000 0.000 0.000 4.722" Properties=species:S:1:pos:R:3 pbc="T T T"
Si 0.000 1.783 0.000
Si 1.783 0.000 0.000
Ir 0.000 0.000 2.361
Cl 1.783 1.783 2.361
```

Values from the calculation:
Its space group is No. 123.

=====

a ends up most stable, edging out the next structure by 1358 meV per atom.